[1]
This record from Alexandria describes Zr2GeBi2 after structural relaxation. The functional is PBE.

Unit cell a=7.592 b=7.592 c=4.267 alpha=90.00 beta=90.00 gamma=90.00
Positions (direct):
Ge 0.000 0.000 0.000
Ge 0.500 0.500 0.000
Bi 0.153 0.653 0.500
Bi 0.653 0.847 0.500
Bi 0.847 0.347 0.500
Bi 0.347 0.153 0.500
Zr 0.346 0.846 0.000
Zr 0.846 0.654 0.000
Zr 0.654 0.154 0.000
Zr 0.154 0.346 0.000

Total energy   -6.154 eV per atom
Density   9.09 g/cm³
Calculated formation energy   -0.2590 eV/atom

[2]
This record from Alexandria describes ZrGe2Bi after structural relaxation. The functional is PBE.

Unit cell a=6.332 b=6.332 c=7.826 alpha=66.14 beta=66.14 gamma=90.00
Positions (direct):
Ge 0.604 0.125 0.250
Ge 0.146 0.625 0.250
Ge 0.375 0.396 0.750
Ge 0.875 0.854 0.750
Bi 0.000 0.000 0.000
Bi 0.750 0.250 0.500
Zr 0.500 0.500 0.000
Zr 0.250 0.750 0.500

Total energy   -5.109 eV per atom
Density   5.75 g/cm³
Calculated formation energy   0.3074 eV/atom

[3]
This record from Alexandria describes Zr5Ge2Bi2 after structural relaxation. The functional is PBE.

Unit cell a=7.440 b=7.376 c=8.237 alpha=90.00 beta=63.15 gamma=90.00
Positions (direct):
Zr 0.000 0.000 0.000
Zr 0.500 0.500 0.000
Zr 0.459 0.168 0.757
Zr 0.785 0.832 0.757
Zr 0.285 0.668 0.757
Zr 0.959 0.332 0.757
Zr 0.541 0.832 0.243
Zr 0.215 0.168 0.243
Zr 0.715 0.332 0.243
Zr 0.041 0.668 0.243
Ge 0.131 0.370 0.000
Ge 0.869 0.630 0.000
Ge 0.369 0.870 0.000
Ge 0.631 0.130 0.000
Bi 0.209 0.000 0.581
Bi 0.709 0.500 0.581
Bi 0.791 0.000 0.419
Bi 0.291 0.500 0.419

Total energy   -7.267 eV per atom
Density   8.39 g/cm³
Calculated formation energy   -0.6291 eV/atom

Which value of density does entry 1 give?
9.09 g/cm³

Which of these has the highest density?
Zr2GeBi2

What is the density in the third record?
8.39 g/cm³

What is the density in the third record?
8.39 g/cm³